This record from Alexandria describes a relaxed NiS2O crystal. The functional is PBE with a Hubbard U.

* E: -2.849 eV/atom
* total magnetic moment: 0.00 Bohr magnetons per cell

The structure in POSCAR format:
```
NiS2O
1.0
4.457 4.496 4.249
5.921 2.088 4.326
6.221 3.851 2.147
Ni S O
1 2 1
Cartesian
0.000 0.000 0.000
15.029 9.448 9.708
1.570 0.987 1.014
8.300 5.218 5.361
```